Entry 1
A plane-wave DFT calculation with PBE was carried out for a geometry-optimized MgMn2Hg structure.

Calculated values
* size of the total moment: 1.73 μB/atom

Unit cell a=3.072 b=3.917 c=5.759 alpha=90.00 beta=90.25 gamma=90.00
Fractional positions:
Mg  0.000  0.000  0.000
Mn  0.500  0.500  0.248
Mn  0.500  0.500  0.752
Hg  0.000  0.000  0.500

---

Entry 2
A plane-wave DFT calculation with PBE was carried out for a geometry-optimized MgMn2Hg structure.

Calculated values
* size of the total moment: 1.88 μB/atom

Unit cell a=7.508 b=7.508 c=5.550 alpha=90.00 beta=90.00 gamma=90.00
Fractional positions:
Mg  0.000  0.000  0.000
Mg  0.000  0.500  0.250
Mg  0.500  0.000  0.750
Mg  0.500  0.500  0.500
Mn  0.237  0.250  0.625
Mn  0.250  0.737  0.875
Mn  0.250  0.763  0.375
Mn  0.263  0.250  0.125
Mn  0.737  0.750  0.125
Mn  0.750  0.237  0.375
Mn  0.750  0.263  0.875
Mn  0.763  0.750  0.625
Hg  0.000  0.000  0.500
Hg  0.000  0.500  0.750
Hg  0.500  0.000  0.250
Hg  0.500  0.500  0.000

---

Entry 3
A plane-wave DFT calculation with PBE was carried out for a geometry-optimized MgMn2Hg structure.

Calculated values
* size of the total moment: 0.05 μB/atom

Unit cell a=3.184 b=3.184 c=6.690 alpha=90.00 beta=90.00 gamma=90.00
Fractional positions:
Mg  0.000  0.000  0.000
Mn  0.000  0.000  0.439
Mn  0.500  0.500  0.269
Hg  0.500  0.500  0.711

---

Energy above the most stable structure, in meV per atom: entry 1 146; entry 2 438; entry 3 0

---

Entry 1
A plane-wave DFT calculation with PBE was carried out for a geometry-optimized MgMn2Hg structure.

Calculated values
* size of the total moment: 1.81 μB/atom

Unit cell a=3.361 b=4.517 c=9.223 alpha=90.00 beta=90.00 gamma=90.00
Fractional positions:
Mg  0.000  0.000  0.000
Mg  0.500  0.500  0.500
Mn  0.000  0.000  0.505
Mn  0.000  0.500  0.243
Mn  0.500  0.000  0.743
Mn  0.500  0.500  0.005
Hg  0.000  0.500  0.755
Hg  0.500  0.000  0.255

---

Entry 2
A plane-wave DFT calculation with PBE was carried out for a geometry-optimized MgMn2Hg structure.

Calculated values
* size of the total moment: 1.87 μB/atom

Unit cell a=6.549 b=6.549 c=6.549 alpha=90.00 beta=90.00 gamma=90.00
Fractional positions:
Mg  0.000  0.000  0.000
Mg  0.000  0.500  0.500
Mg  0.500  0.000  0.500
Mg  0.500  0.500  0.000
Mn  0.000  0.000  0.500
Mn  0.000  0.500  0.000
Mn  0.250  0.250  0.750
Mn  0.250  0.750  0.250
Mn  0.500  0.000  0.000
Mn  0.500  0.500  0.500
Mn  0.750  0.250  0.250
Mn  0.750  0.750  0.750
Hg  0.250  0.250  0.250
Hg  0.250  0.750  0.750
Hg  0.750  0.250  0.750
Hg  0.750  0.750  0.250

---

Energy above the most stable structure, in meV per atom: entry 1 0; entry 2 31

---

Entry 1
A plane-wave DFT calculation with PBE was carried out for a geometry-optimized MgMn2Hg structure.

Calculated values
* size of the total moment: 1.73 μB/atom

Unit cell a=5.773 b=7.937 c=3.021 alpha=90.00 beta=90.00 gamma=90.00
Fractional positions:
Mg  0.000  0.000  0.000
Mg  0.500  0.500  0.000
Mn  0.250  0.250  0.500
Mn  0.250  0.750  0.500
Mn  0.750  0.250  0.500
Mn  0.750  0.750  0.500
Hg  0.000  0.500  0.000
Hg  0.500  0.000  0.000

---

Entry 2
A plane-wave DFT calculation with PBE was carried out for a geometry-optimized MgMn2Hg structure.

Calculated values
* size of the total moment: 1.70 μB/atom

Unit cell a=4.057 b=4.057 c=4.104 alpha=90.00 beta=90.00 gamma=90.00
Fractional positions:
Mg  0.000  0.000  0.000
Mn  0.000  0.500  0.500
Mn  0.500  0.000  0.500
Hg  0.500  0.500  0.000

---

Entry 3
A plane-wave DFT calculation with PBE was carried out for a geometry-optimized MgMn2Hg structure.

Calculated values
* size of the total moment: 1.84 μB/atom

Unit cell a=4.045 b=4.045 c=8.532 alpha=90.00 beta=90.00 gamma=90.00
Fractional positions:
Mg  0.000  0.000  0.000
Mg  0.500  0.500  0.500
Mn  0.000  0.000  0.500
Mn  0.000  0.500  0.750
Mn  0.500  0.000  0.250
Mn  0.500  0.500  0.000
Hg  0.000  0.500  0.250
Hg  0.500  0.000  0.750

---

Energy above the most stable structure, in meV per atom: entry 1 63; entry 2 0; entry 3 55

---

Entry 1
A plane-wave DFT calculation with PBE was carried out for a geometry-optimized MgMn2Hg structure.

Calculated values
* size of the total moment: 1.80 μB/atom

Unit cell a=3.005 b=3.005 c=27.818 alpha=90.00 beta=90.00 gamma=120.00
Fractional positions:
Mg  0.000  0.000  0.000
Mg  0.333  0.667  0.667
Mg  0.667  0.333  0.333
Mn  0.000  0.000  0.251
Mn  0.000  0.000  0.749
Mn  0.333  0.667  0.416
Mn  0.333  0.667  0.917
Mn  0.667  0.333  0.083
Mn  0.667  0.333  0.584
Hg  0.000  0.000  0.500
Hg  0.333  0.667  0.167
Hg  0.667  0.333  0.833

---

Entry 2
A plane-wave DFT calculation with PBE was carried out for a geometry-optimized MgMn2Hg structure.

Calculated values
* size of the total moment: 1.88 μB/atom

Unit cell a=6.562 b=6.562 c=6.562 alpha=90.00 beta=90.00 gamma=90.00
Fractional positions:
Mg  0.000  0.000  0.000
Mg  0.000  0.500  0.500
Mg  0.500  0.000  0.500
Mg  0.500  0.500  0.000
Mn  0.250  0.250  0.250
Mn  0.250  0.250  0.750
Mn  0.250  0.750  0.250
Mn  0.250  0.750  0.750
Mn  0.750  0.250  0.250
Mn  0.750  0.250  0.750
Mn  0.750  0.750  0.250
Mn  0.750  0.750  0.750
Hg  0.000  0.000  0.500
Hg  0.000  0.500  0.000
Hg  0.500  0.000  0.000
Hg  0.500  0.500  0.500

---

Energy above the most stable structure, in meV per atom: entry 1 94; entry 2 0

---

Entry 1
A plane-wave DFT calculation with PBE was carried out for a geometry-optimized Mg3MnHg structure.

Calculated values
* size of the total moment: 0.03 μB/atom

Unit cell a=4.963 b=4.963 c=4.963 alpha=90.00 beta=90.00 gamma=90.00
Fractional positions:
Mg  0.000  0.000  0.500
Mg  0.000  0.500  0.000
Mg  0.500  0.000  0.000
Mn  0.000  0.000  0.000
Hg  0.500  0.500  0.500

---

Entry 2
A plane-wave DFT calculation with PBE was carried out for a geometry-optimized Mg3MnHg structure.

Calculated values
* size of the total moment: 0.94 μB/atom

Unit cell a=5.181 b=5.181 c=5.181 alpha=90.00 beta=90.00 gamma=90.00
Fractional positions:
Mg  0.000  0.000  0.500
Mg  0.000  0.500  0.000
Mg  0.500  0.000  0.000
Mn  0.500  0.500  0.500
Hg  0.000  0.000  0.000

---

Energy above the most stable structure, in meV per atom: entry 1 237; entry 2 0